# 1
SCAN CaLa2In2, single point on PBEsol structure; DFT formation energy = -2.90 eV per formula unit; space-group type = P4/mbm (127); total energy = -331.09 eV per cell
1.0
8.6225 0.0000 0.0000
0.0000 8.6225 0.0000
0.0000 0.0000 4.3002
Ca La In
2 4 4
Direct
0.0000 0.0000 0.0000
0.5000 0.5000 0.0000
0.1734 0.3266 0.5000
0.3266 0.8266 0.5000
0.6734 0.1734 0.5000
0.8266 0.6734 0.5000
0.1234 0.6234 0.0000
0.3766 0.1234 0.0000
0.6234 0.8766 0.0000
0.8766 0.3766 0.0000

# 2
SCAN Ca2LaIn, single point on PBEsol structure; DFT formation energy = -1.34 eV per formula unit; space-group type = P4/mmm (123); total energy = -97.16 eV per cell
1.0
4.9131 0.0000 0.0000
0.0000 4.9131 0.0000
0.0000 0.0000 5.2373
Ca La In
2 1 1
Direct
0.0000 0.5000 0.0000
0.5000 0.0000 0.0000
0.0000 0.0000 0.5000
0.5000 0.5000 0.5000

# 3
SCAN Li3CaIn, single point on PBEsol structure; DFT formation energy = -0.32 eV per formula unit; space-group type = Pm-3m (221); total energy = -50.54 eV per cell
1.0
5.0673 0.0000 0.0000
0.0000 5.0673 0.0000
0.0000 0.0000 5.0673
Li Ca In
3 1 1
Direct
0.0000 0.0000 0.5000
0.0000 0.5000 0.0000
0.5000 0.0000 0.0000
0.5000 0.5000 0.5000
0.0000 0.0000 0.0000

# 4
SCAN Li2CaIn2, single point on PBEsol structure; DFT formation energy = -1.90 eV per formula unit; space-group type = I4/mmm (139); total energy = -83.12 eV per cell
1.0
-2.0415 2.0415 7.0423
2.0415 -2.0415 7.0423
2.0415 2.0415 -7.0423
Li Ca In
2 1 2
Direct
0.2500 0.7500 0.5000
0.7500 0.2500 0.5000
0.0000 0.0000 0.0000
0.3931 0.3931 0.0000
0.6069 0.6069 0.0000

# 5
SCAN Li2CaIn2, single point on PBEsol structure; DFT formation energy = -2.00 eV per formula unit; space-group type = P4/mbm (127); total energy = -166.44 eV per cell
1.0
8.1850 0.0000 0.0000
0.0000 8.1850 0.0000
0.0000 0.0000 3.2179
Li Ca In
4 2 4
Direct
0.1184 0.3816 0.0000
0.3816 0.8816 0.0000
0.6184 0.1184 0.0000
0.8816 0.6184 0.0000
0.0000 0.0000 0.0000
0.5000 0.5000 0.0000
0.1777 0.6777 0.5000
0.3223 0.1777 0.5000
0.6777 0.8223 0.5000
0.8223 0.3223 0.5000

# 6
SCAN Li4CaIn, single point on PBEsol structure; DFT formation energy = -1.32 eV per formula unit; space-group type = F-43m (216); total energy = -53.93 eV per cell
1.0
0.0000 3.9282 3.9282
3.9282 0.0000 3.9282
3.9282 3.9282 0.0000
Li Ca In
4 1 1
Direct
0.1229 0.1229 0.1229
0.1229 0.1229 0.6314
0.1229 0.6314 0.1229
0.6314 0.1229 0.1229
0.5000 0.5000 0.5000
0.7500 0.7500 0.7500

# 7
SCAN LiCa2In, single point on PBEsol structure; DFT formation energy = -1.16 eV per formula unit; space-group type = F-43m (216); total energy = -56.27 eV per cell
1.0
0.0000 3.7241 3.7241
3.7241 0.0000 3.7241
3.7241 3.7241 0.0000
Li Ca In
1 2 1
Direct
0.0000 0.0000 0.0000
0.5000 0.5000 0.5000
0.7500 0.7500 0.7500
0.2500 0.2500 0.2500

# 8
SCAN LiCa2In, single point on PBEsol structure; DFT formation energy = -1.20 eV per formula unit; space-group type = Cm (8); total energy = -56.30 eV per cell
1.0
5.9521 -1.8521 0.0000
5.9521 1.8521 0.0000
-1.9670 0.0000 5.1410
Li Ca In
1 2 1
Direct
0.0000 0.0000 0.0000
0.2270 0.2270 0.7709
0.4364 0.4364 0.4375
0.6887 0.6887 0.2441

# 9
SCAN LiCa2In, single point on PBEsol structure; DFT formation energy = -1.19 eV per formula unit; space-group type = Imm2 (44); total energy = -56.30 eV per cell
1.0
-1.8688 2.7202 5.5594
1.8688 -2.7202 5.5594
1.8688 2.7202 -5.5594
Li Ca In
1 2 1
Direct
0.0000 0.0000 0.0000
0.2735 0.7735 0.5000
0.5634 0.5634 0.0000
0.8116 0.3116 0.5000

# 10
SCAN LiCaIn, single point on PBEsol structure; DFT formation energy = -1.13 eV per formula unit; space-group type = I4mm (107); total energy = -46.57 eV per cell
1.0
-1.8841 1.8841 5.2597
1.8841 -1.8841 5.2597
1.8841 1.8841 -5.2597
Li Ca In
1 1 1
Direct
0.0000 0.0000 0.0000
0.3053 0.3053 0.0000
0.6216 0.6216 0.0000

# 11
SCAN LiCa2In, single point on PBEsol structure; DFT formation energy = -1.23 eV per formula unit; space-group type = Pm (6); total energy = -56.33 eV per cell
1.0
3.8192 0.0000 0.0000
0.0000 5.0996 0.0000
-1.8691 0.0000 5.9922
Li Ca In
1 2 1
Direct
0.0000 0.0000 0.0000
0.2942 0.0000 0.5805
0.5940 0.5000 0.1868
0.8750 0.5000 0.7419

# 12
SCAN LiCaInN2, single point on PBEsol structure; formation energy from raw total energies = 1.094 eV per atom; space-group type = P4/mmm (123); total energy = -58.55 eV per cell
1.0
4.4052 0.0000 0.0000
0.0000 4.4052 0.0000
0.0000 0.0000 4.6060
Li Ca In N
1 1 1 2
Direct
0.0000 0.0000 0.0000
0.0000 0.0000 0.5000
0.5000 0.5000 0.0000
0.0000 0.5000 0.5000
0.5000 0.0000 0.5000

# 13
SCAN CaMg2In, single point on PBEsol structure; DFT formation energy = -0.92 eV per formula unit; space-group type = Pm (6); total energy = -53.92 eV per cell
1.0
3.4060 0.0000 0.0000
0.0000 4.8998 0.0000
-1.6769 0.0000 6.1156
Ca Mg In
1 2 1
Direct
0.0000 0.0000 0.0000
0.3336 0.5000 0.6695
0.7345 0.0000 0.4764
0.6029 0.5000 0.2094

# 14
SCAN CaMg2In, single point on PBEsol structure; DFT formation energy = -0.94 eV per formula unit; space-group type = P4mm (99); total energy = -53.93 eV per cell
1.0
3.7463 0.0000 0.0000
0.0000 3.7463 0.0000
0.0000 0.0000 7.2786
Ca Mg In
1 2 1
Direct
0.0000 0.0000 0.0000
0.0000 0.0000 0.4818
0.5000 0.5000 0.7014
0.5000 0.5000 0.2687

# 15
SCAN Ca2MgIn, single point on PBEsol structure; DFT formation energy = -0.55 eV per formula unit; space-group type = R-3m (166); total energy = -58.24 eV per cell
1.0
1.8365 1.0603 10.5539
-1.8365 1.0603 10.5539
0.0000 -2.1206 10.5539
Ca Mg In
2 1 1
Direct
0.2450 0.2450 0.2450
0.7550 0.7550 0.7550
0.0000 0.0000 0.0000
0.5000 0.5000 0.5000

# 16
SCAN CaMgIn, single point on PBEsol structure; DFT formation energy = -1.19 eV per formula unit; space-group type = P-6m2 (187); total energy = -49.21 eV per cell
1.0
5.0280 0.0000 0.0000
-2.5140 4.3544 0.0000
0.0000 0.0000 3.6035
Ca Mg In
1 1 1
Direct
0.0000 0.0000 0.0000
0.6667 0.3333 0.5000
0.3333 0.6667 0.5000

# 17
SCAN CaMg2In, single point on PBEsol structure; DFT formation energy = -1.13 eV per formula unit; space-group type = F-43m (216); total energy = -54.13 eV per cell
1.0
0.0000 3.6449 3.6449
3.6449 0.0000 3.6449
3.6449 3.6449 0.0000
Ca Mg In
1 2 1
Direct
0.0000 0.0000 0.0000
0.5000 0.5000 0.5000
0.7500 0.7500 0.7500
0.2500 0.2500 0.2500

# 18
SCAN CaMg2In2, single point on PBEsol structure; DFT formation energy = -1.82 eV per formula unit; space-group type = I4/mmm (139); total energy = -88.20 eV per cell
1.0
-2.2368 2.2368 6.4780
2.2368 -2.2368 6.4780
2.2368 2.2368 -6.4780
Ca Mg In
1 2 2
Direct
0.0000 0.0000 0.0000
0.2500 0.7500 0.5000
0.7500 0.2500 0.5000
0.3932 0.3932 0.0000
0.6068 0.6068 0.0000

# 19
SCAN CaMgIn3, single point on PBEsol structure; DFT formation energy = 3.21 eV per formula unit; space-group type = Pm-3m (221); total energy = -111.59 eV per cell
1.0
5.7332 0.0000 0.0000
0.0000 5.7332 0.0000
0.0000 0.0000 5.7332
Ca Mg In
1 1 3
Direct
0.0000 0.0000 0.0000
0.5000 0.5000 0.5000
0.0000 0.0000 0.5000
0.0000 0.5000 0.0000
0.5000 0.0000 0.0000

# 20
SCAN CaMg2In, single point on PBEsol structure; DFT formation energy = -0.99 eV per formula unit; space-group type = Pmmm (47); total energy = -53.98 eV per cell
1.0
4.4585 0.0000 0.0000
0.0000 4.6754 0.0000
0.0000 0.0000 4.8105
Ca Mg In
1 2 1
Direct
0.0000 0.0000 0.0000
0.0000 0.5000 0.5000
0.5000 0.0000 0.5000
0.5000 0.5000 0.0000

# 21
SCAN Ca2MgIn, single point on PBEsol structure; DFT formation energy = -1.19 eV per formula unit; space-group type = Cm (8); total energy = -58.88 eV per cell
1.0
6.3465 -1.8396 0.0000
6.3465 1.8396 0.0000
-2.3977 0.0000 4.9843
Ca Mg In
2 1 1
Direct
0.0000 0.0000 0.0000
0.2083 0.2083 0.7069
0.7648 0.7648 0.2632
0.4682 0.4682 0.4686

# 22
SCAN Ca2MgIn, single point on PBEsol structure; DFT formation energy = -1.51 eV per formula unit; space-group type = Pmm2 (25); total energy = -59.19 eV per cell
1.0
3.7978 0.0000 0.0000
0.0000 5.4459 0.0000
0.0000 0.0000 5.4460
Ca Mg In
2 1 1
Direct
0.0000 0.0000 0.0000
0.0000 0.5000 0.4990
0.5000 0.0000 0.5003
0.5000 0.5000 0.9989

# 23
SCAN Ca2MgIn, single point on PBEsol structure; DFT formation energy = -1.53 eV per formula unit; space-group type = Fm-3m (225); total energy = -59.22 eV per cell
1.0
0.0000 3.8284 3.8284
3.8284 0.0000 3.8284
3.8284 3.8284 0.0000
Ca Mg In
2 1 1
Direct
0.2500 0.2500 0.2500
0.7500 0.7500 0.7500
0.0000 0.0000 0.0000
0.5000 0.5000 0.5000

# 24
SCAN CaMg2InRe, single point on PBEsol structure; DFT formation energy = 1.61 eV per formula unit; space-group type = P4/mmm (123); total energy = -122.48 eV per cell
1.0
5.0499 0.0000 0.0000
0.0000 5.0499 0.0000
0.0000 0.0000 5.1637
Ca Mg In Re
1 2 1 1
Direct
0.0000 0.0000 0.0000
0.0000 0.5000 0.5000
0.5000 0.0000 0.5000
0.5000 0.5000 0.0000
0.5000 0.5000 0.5000

# 25
SCAN CaMnIn2, single point on PBEsol structure; DFT formation energy = -1.27 eV per formula unit; space-group type = P4/mmm (123); total energy = -95.96 eV per cell
1.0
3.3455 0.0000 0.0000
0.0000 3.3455 0.0000
0.0000 0.0000 7.7077
Ca Mn In
1 1 2
Direct
0.0000 0.0000 0.0000
0.0000 0.0000 0.5000
0.5000 0.5000 0.2934
0.5000 0.5000 0.7066

# 26
SCAN CaMnIn2, single point on PBEsol structure; DFT formation energy = -1.07 eV per formula unit; space-group type = P4/mmm (123); total energy = -95.76 eV per cell
1.0
4.4686 0.0000 0.0000
0.0000 4.4686 0.0000
0.0000 0.0000 4.4503
Ca Mn In
1 1 2
Direct
0.0000 0.0000 0.0000
0.5000 0.5000 0.0000
0.0000 0.5000 0.5000
0.5000 0.0000 0.5000

# 27
SCAN CaMn2In, single point on PBEsol structure; DFT formation energy = -0.05 eV per formula unit; space-group type = F-43m (216); total energy = -79.61 eV per cell
1.0
0.0000 3.4072 3.4072
3.4072 0.0000 3.4072
3.4072 3.4072 0.0000
Ca Mn In
1 2 1
Direct
0.0000 0.0000 0.0000
0.2500 0.2500 0.2500
0.5000 0.5000 0.5000
0.7500 0.7500 0.7500

# 28
SCAN Ca2MnIn, single point on PBEsol structure; DFT formation energy = -0.49 eV per formula unit; space-group type = P4mm (99); total energy = -71.46 eV per cell
1.0
3.5615 0.0000 0.0000
0.0000 3.5615 0.0000
0.0000 0.0000 8.4431
Ca Mn In
2 1 1
Direct
0.0000 0.0000 0.0000
0.5000 0.5000 0.3606
0.5000 0.5000 0.7602
0.0000 0.0000 0.6107

# 29
SCAN CaMnIn2, single point on PBEsol structure; DFT formation energy = -0.22 eV per formula unit; space-group type = P4mm (99); total energy = -94.91 eV per cell
1.0
3.3975 0.0000 0.0000
0.0000 3.3975 0.0000
0.0000 0.0000 7.9271
Ca Mn In
1 1 2
Direct
0.0000 0.0000 0.0000
0.5000 0.5000 0.2630
0.0000 0.0000 0.4403
0.5000 0.5000 0.7048

# 30
SCAN Ca3MnIn, single point on PBEsol structure; DFT formation energy = 1.36 eV per formula unit; space-group type = Pm-3m (221); total energy = -79.27 eV per cell
1.0
5.3717 0.0000 0.0000
0.0000 5.3717 0.0000
0.0000 0.0000 5.3717
Ca Mn In
3 1 1
Direct
0.0000 0.0000 0.5000
0.0000 0.5000 0.0000
0.5000 0.0000 0.0000
0.0000 0.0000 0.0000
0.5000 0.5000 0.5000